# 1
# Pr6SnRu2

A relaxed Pr6SnRu2 crystal (PBE, the Alexandria database).

Cell lengths 10.6894, 5.1790, 9.4802 Å; angles 90.00, 102.71, 90.00 degrees
Closest atoms and distances in Å follow each position.
Space group C2/m (No. 12)
Inequivalent atoms, fractional coordinates:
Pr 0.0303 0.0000 0.3470  4 Pr 3.11-3.48, 2 Ru 3.14, 1 Sn 3.23
Pr 0.1649 0.5000 0.8841  1 Ru 2.66
Pr 0.2033 0.5000 0.3386  1 Ru 2.80
Sn 0.0000 0.0000 0.0000  8 Pr 3.23-3.51
Ru 0.1173 0.5000 0.5965  2 Pr 2.66-2.80, 1 Ru 2.76

Summary:
distance to the lowest polymorph of the same formula	0.059	eV per atom

# 2
# Pr2Sn8Ru

A relaxed Pr2Sn8Ru crystal (PBE, the Alexandria database).

Cell lengths 4.7392, 4.7392, 12.5933 Å; angles 90.00, 90.00, 90.00 degrees
Closest atoms and distances in Å follow each position.
Space group P4/mmm (No. 123)
Inequivalent atoms, fractional coordinates:
Pr 0.0000 0.0000 0.1919  12 Sn 3.35-3.38
Sn 0.0000 0.5000 0.0000  8 Sn 3.35-3.43, 4 Pr 3.38
Sn 0.0000 0.5000 0.3815  2 Ru 2.80, 1 Sn 2.99
Sn 0.5000 0.5000 0.1968  8 Sn 3.32-3.43, 4 Pr 3.35
Ru 0.0000 0.0000 0.5000  8 Sn 2.80

Summary:
DFT total energy	-55.25	eV for the cell shown

# 3
# Pr3SnRu

A relaxed Pr3SnRu crystal (PBE, the Alexandria database).

Cell lengths 11.9849, 4.7073, 10.4574 Å; angles 90.00, 97.76, 90.00 degrees
Closest atoms and distances in Å follow each position.
Space group C2/m (No. 12)
Inequivalent atoms, fractional coordinates:
Pr 0.1046 0.0000 0.3887  3 Ru 2.84
Pr 0.1183 0.5000 0.6742  2 Ru 3.03, 2 Sn 3.36
Pr 0.1474 0.5000 0.1108  1 Ru 2.90
Sn 0.0738 0.0000 0.8910  1 Sn 3.07, 6 Pr 3.32-3.38
Ru 0.2370 0.5000 0.3830  6 Pr 2.84-3.03

Summary:
distance to the lowest polymorph of the same formula	0.000	eV per atom

Number 1: density 7.57 g cm⁻³. Number 2: density 7.82 g cm⁻³. Number 3: density 7.30 g cm⁻³.